1.
A PBEsol-optimized structure of BeMo3W. Source: Alexandria, functional SCAN.

volume: 20.28 A^3/atom
density of states at the Fermi level: 1.09 states/eV/atom
energy of formation: 2.10 eV per atom
density: 7.87 g/cm³
space-group type: Pm-3m, No. 221

a = 4.6633 Å, b = 4.6633 Å, c = 4.6633 Å
α = 90.00°, β = 90.00°, γ = 90.00°
Positions (direct):
1 Be 0.0000 0.0000 0.0000
2 Mo 0.0000 0.5000 0.5000
3 Mo 0.5000 0.0000 0.5000
4 Mo 0.5000 0.5000 0.0000
5 W 0.5000 0.5000 0.5000



2.
A PBEsol-optimized structure of Be2MoW2. Source: Alexandria, functional SCAN.

volume: 13.12 A^3/atom
density of states at the Fermi level: 0.35 states/eV/atom
energy of formation: 0.28 eV per atom
density: 12.20 g/cm³
energy above the most stable polymorph in this dataset: 0.423 eV per atom
space-group type: I4/mmm, No. 139

a = 5.7163 Å, b = 5.7163 Å, c = 5.7163 Å
α = 143.54°, β = 143.54°, γ = 52.52°
Positions (direct):
1 Be 0.0911 0.0911 0.0000
2 Be 0.9089 0.9089 0.0000
3 Mo 0.5000 0.5000 0.0000
4 W 0.2500 0.7500 0.5000
5 W 0.7500 0.2500 0.5000



3.
A PBEsol-optimized structure of Be2MoW2. Source: Alexandria, functional SCAN.

volume: 12.20 A^3/atom
density of states at the Fermi level: 0.30 states/eV/atom
energy of formation: -0.14 eV per atom
density: 13.11 g/cm³
energy above the most stable polymorph in this dataset: 0.000 eV per atom
space-group type: P4/mbm, No. 127

a = 6.1814 Å, b = 6.1814 Å, c = 3.1925 Å
α = 90.00°, β = 90.00°, γ = 90.00°
Positions (direct):
1 Be 0.1179 0.3821 0.0000
2 Be 0.3821 0.8821 0.0000
3 Be 0.6179 0.1179 0.0000
4 Be 0.8821 0.6179 0.0000
5 Mo 0.0000 0.0000 0.0000
6 Mo 0.5000 0.5000 0.0000
7 W 0.1765 0.6765 0.5000
8 W 0.3235 0.1765 0.5000
9 W 0.6765 0.8235 0.5000
10 W 0.8235 0.3235 0.5000



4.
A PBEsol-optimized structure of Be2MoW. Source: Alexandria, functional SCAN.

volume: 11.35 A^3/atom
density of states at the Fermi level: 0.15 states/eV/atom
energy of formation: -0.21 eV per atom
density: 10.89 g/cm³
energy above the most stable polymorph in this dataset: 0.000 eV per atom
space-group type: Amm2, No. 38

a = 3.2447 Å, b = 4.6737 Å, c = 4.6737 Å
α = 39.85°, β = 90.00°, γ = 90.00°
Positions (direct):
1 Be 0.0000 0.0000 0.0000
2 Be 0.5000 0.1358 0.1358
3 Mo 0.5000 0.4133 0.4133
4 W 0.0000 0.7234 0.7234